This record from Alexandria describes an optimized crystal structure of MgMo2Os. The functional is GGA-PBE.

Values from the calculation:
Calculated total energy, eV per atom: -7.92
Magnetic moment, μB per atom: 0.00
Formation energy from the elements, eV per formula unit: 2.82

Lattice parameters (Å, degrees): 7.4114 7.4114 5.3128 90.00 90.00 90.00
With the nearest neighbours (Å) after each atom.
Space group I-42d (No. 122)
Unique sites:
Mg1 0.0000 0.0000 0.0000  2 Os 2.66, 4 Mo 2.96
Mo1 0.2016 0.2500 0.6250  2 Os 2.47, 2 Mo 2.75
Os1 0.0000 0.0000 0.5000  4 Mo 2.47, 2 Mg 2.66